Record 1
The following is a PBE calculation of an optimized crystal structure of Tm2Ga5Ru3, from Alexandria via LeMat-Bulk.

abc: 4.2552 24.9569 6.4675
angles: 90.00 90.00 90.00
With the nearest neighbours (Å) after each atom.
Space group Cmc2_1 (No. 36)
Unique sites:
1 Tm 0.0000 0.0257 0.0000 (multiplicity 4)  5 Ru 2.88-2.98, 6 Ga 3.05-3.12
2 Tm 0.0000 0.3263 0.9861 (multiplicity 4)  9 Ga 2.95-3.23, 3 Ru 3.00-3.11
3 Ga 0.0000 0.0939 0.4047 (multiplicity 4)  3 Ru 2.61-2.62, 2 Ga 2.89
4 Ga 0.0000 0.1976 0.1535 (multiplicity 4)  3 Ru 2.61-2.87, 3 Ga 2.86-2.88
5 Ga 0.0000 0.2270 0.7260 (multiplicity 4)  4 Ru 2.48-2.52
6 Ga 0.0000 0.3840 0.5380 (multiplicity 4)  4 Ru 2.49-2.69, 1 Ga 2.66
7 Ga 0.0000 0.4375 0.1825 (multiplicity 4)  4 Ru 2.56-2.76, 1 Ga 2.66
8 Ru 0.0000 0.1272 0.7873 (multiplicity 4)  6 Ga 2.52-2.76
9 Ru 0.0000 0.2886 0.4256 (multiplicity 4)  6 Ga 2.48-2.61
10 Ru 0.0000 0.4609 0.7965 (multiplicity 4)  5 Ga 2.55-2.64

## Properties
- total DFT energy (no corrections) (Ry per atom) = -0.4176



Record 2
The following is a PBE calculation of an optimized crystal structure of VAg2Pb, from Alexandria via LeMat-Bulk.

abc: 7.8500 7.8500 5.6337
angles: 90.00 90.00 90.00
With the nearest neighbours (Å) after each atom.
Space group I-42d (No. 122)
Unique sites:
1 V 0.0000 0.0000 0.0000 (multiplicity 4)  4 Ag 2.76, 2 Pb 2.82
2 Ag 0.2305 0.2500 0.1250 (multiplicity 8)  2 V 2.76, 2 Ag 2.83, 2 Pb 2.97
3 Pb 0.0000 0.0000 0.5000 (multiplicity 4)  2 V 2.82, 4 Ag 2.97

## Properties
- total DFT energy (no corrections) (Ry per atom) = -0.3000